[1]
DFT (PBE) results for an optimized crystal structure of KCoI2N.

Output
**Uncorrected formation energy**: -0.0661 eV/atom
**E above lowest polymorph**: 0.0 meV per atom
**Total magnetization**: 0.00 Bohr magnetons per cell

```
data_KCoI2N
_symmetry_space_group_name_H-M 'P 1'
_symmetry_Int_Tables_number 1
_cell_length_a 5.828
_cell_length_b 5.828
_cell_length_c 3.554
_cell_angle_alpha 90.00
_cell_angle_beta 90.00
_cell_angle_gamma 90.00
loop_
_symmetry_equiv_pos_as_xyz
'x,y,z'
loop_
_atom_site_label
_atom_site_type_symbol
_atom_site_fract_x
_atom_site_fract_y
_atom_site_fract_z
I1 I 0.500 0.000 0.000
I2 I 0.000 0.500 0.000
K1 K 0.500 0.500 0.500
Co1 Co 0.000 0.000 0.000
N1 N 0.000 0.000 0.500
```



[2]
DFT (PBE) results for an optimized crystal structure of SrScIn.

Output
**Formation energy from the elements**: -188 meV/atom
**E above lowest polymorph**: 127.0 meV per atom
**Total magnetization**: 0.02 Bohr magnetons per cell

```
data_SrScIn
_symmetry_space_group_name_H-M 'P 1'
_symmetry_Int_Tables_number 1
_cell_length_a 4.967
_cell_length_b 9.971
_cell_length_c 4.965
_cell_angle_alpha 90.02
_cell_angle_beta 60.00
_cell_angle_gamma 90.00
loop_
_symmetry_equiv_pos_as_xyz
'x,y,z'
loop_
_atom_site_label
_atom_site_type_symbol
_atom_site_fract_x
_atom_site_fract_y
_atom_site_fract_z
In1 In 0.898 0.638 0.165
In2 In 0.898 0.935 0.165
Sc1 Sc 0.232 0.720 0.499
Sc2 Sc 0.565 0.852 0.832
Sr1 Sr 0.565 0.458 0.832
Sr2 Sr 0.232 0.114 0.499
```



Number 2 is which compound? SrScIn



total magnetization of number 1 (KCoI2N)? 0.00 Bohr magnetons per cell